[1]
{
  "formula": "Co2Re",
  "functional": "PBE",
  "state": "optimized geometry",
  "crystal_system": "orthorhombic",
  "sg": "Cmc2_1",
  "dos_ef_per_ev_atom": 1.134,
  "dft_energy_ev_per_cell": -52.233,
  "formation_enthalpy_0k_ev_per_fu": 0.54,
  "magmom_total_mub_per_cell": 0.000,
  "lattice": [[-1.103, 2.963, 2.149], [-0.090, -3.957, 2.011], [4.433, 0.621, 1.419]],
  "species": ["Re", "Re", "Co", "Co", "Co", "Co"],
  "frac_coords": [[0.208, 0.417, 0.028], [0.792, 0.583, 0.528], [0.501, 0.002, 0.277], [0.898, 0.795, 0.029], [0.499, 0.998, 0.777], [0.102, 0.205, 0.529]]
}

***

[2]
{
  "formula": "LiNbZn",
  "functional": "PBE",
  "state": "optimized geometry",
  "crystal_system": "triclinic",
  "sg": "P-1",
  "dos_ef_per_ev_atom": 0.772,
  "dft_energy_ev_per_cell": -26.810,
  "formation_enthalpy_0k_ev_per_fu": -0.15,
  "magmom_total_mub_per_cell": 0.000,
  "lattice": [[2.690, 0.707, -0.377], [1.912, 3.354, -0.708], [-0.686, -1.448, 13.185]],
  "species": ["Nb", "Nb", "Zn", "Zn", "Li", "Li"],
  "frac_coords": [[0.689, 0.483, 0.122], [0.690, 0.168, 0.311], [0.691, 0.834, 0.478], [0.689, 0.817, 0.955], [0.690, 0.483, 0.626], [0.689, 0.167, 0.807]]
}

***

[3]
{
  "formula": "MnCrTc3",
  "functional": "PBE",
  "state": "optimized geometry",
  "crystal_system": "cubic",
  "sg": "Pm-3m",
  "dos_ef_per_ev_atom": 2.110,
  "dft_energy_ev_per_cell": -42.739,
  "formation_enthalpy_0k_ev_per_fu": 7.15,
  "magmom_total_mub_per_cell": 0.000,
  "lattice": [[4.340, 0.000, 0.000], [0.000, 4.340, 0.000], [0.000, 0.000, 4.340]],
  "species": ["Tc", "Tc", "Tc", "Mn", "Cr"],
  "frac_coords": [[0.500, 0.000, 0.000], [0.000, 0.000, 0.500], [0.000, 0.500, 0.000], [0.000, 0.000, 0.000], [0.500, 0.500, 0.500]]
}

***

[4]
{
  "formula": "Re2PS",
  "functional": "PBE",
  "state": "optimized geometry",
  "crystal_system": "cubic",
  "sg": "Fm-3m",
  "dos_ef_per_ev_atom": 0.555,
  "dft_energy_ev_per_cell": -33.739,
  "raw_formation_energy_mev_per_atom": 174,
  "magmom_total_mub_per_cell": 0.000,
  "lattice": [[0.000, 2.975, 2.975], [2.975, 0.000, 2.975], [2.975, 2.975, 0.000]],
  "species": ["P", "Re", "Re", "S"],
  "frac_coords": [[0.000, 0.000, 0.000], [0.250, 0.250, 0.250], [0.750, 0.750, 0.750], [0.500, 0.500, 0.500]]
}

***

[5]
{
  "formula": "LaIn2Ag",
  "functional": "PBE",
  "state": "optimized geometry",
  "crystal_system": "trigonal",
  "sg": "R3m",
  "dos_ef_per_ev_atom": 0.737,
  "dft_energy_ev_per_cell": -13.377,
  "formation_enthalpy_0k_ev_per_fu": -0.12,
  "magmom_total_mub_per_cell": 0.000,
  "lattice": [[-6.645, 7.188, 2.203], [-7.341, 4.827, 4.846], [-4.647, 7.206, 5.212]],
  "species": ["Ag", "La", "In", "In"],
  "frac_coords": [[0.744, 0.744, 0.744], [0.494, 0.494, 0.494], [0.007, 0.007, 0.007], [0.255, 0.255, 0.255]]
}

***

[6]
{
  "formula": "La3Tc",
  "functional": "PBE",
  "state": "optimized geometry",
  "crystal_system": "orthorhombic",
  "sg": "Cmcm",
  "dos_ef_per_ev_atom": 1.233,
  "dft_energy_ev_per_cell": -49.417,
  "formation_enthalpy_0k_ev_per_fu": 0.44,
  "magmom_total_mub_per_cell": 0.000,
  "lattice": [[5.111, -5.740, 0.000], [5.111, 5.740, 0.000], [0.000, 0.000, 4.020]],
  "species": ["Tc", "Tc", "La", "La", "La", "La", "La", "La"],
  "frac_coords": [[0.890, 0.110, 0.250], [0.110, 0.890, 0.750], [0.617, 0.383, 0.750], [0.315, 0.058, 0.250], [0.058, 0.315, 0.750], [0.685, 0.942, 0.750], [0.383, 0.617, 0.250], [0.942, 0.685, 0.250]]
}

***

[7]
{
  "formula": "Pm3Er5S12",
  "functional": "PBE",
  "state": "optimized geometry",
  "crystal_system": "cubic",
  "sg": "Ia-3d",
  "dos_ef_per_ev_atom": 0.000,
  "dft_energy_ev_per_cell": -499.494,
  "raw_formation_energy_mev_per_atom": -1914,
  "magmom_total_mub_per_cell": 0.000,
  "lattice": [[13.981, 0.000, 0.000], [-4.660, 13.181, 0.000], [-4.660, -6.591, 11.415]],
  "species": ["Er", "Er", "Er", "Er", "Er", "Er", "Er", "Er", "Er", "Er", "Er", "Er", "Er", "Er", "Er", "Er", "Er", "Er", "Er", "Er", "S", "S", "S", "S", "S", "S", "S", "S", "S", "S", "S", "S", "S", "S", "S", "S", "S", "S", "S", "S", "S", "S", "S", "S", "S", "S", "S", "S", "S", "S", "S", "S", "S", "S", "S", "S", "S", "S", "S", "S", "S", "S", "S", "S", "S", "S", "S", "S", "Pm", "Pm", "Pm", "Pm", "Pm", "Pm", "Pm", "Pm", "Pm", "Pm", "Pm", "Pm"],
  "frac_coords": [[0.250, 0.875, 0.125], [0.375, 0.125, 0.750], [0.500, 0.500, 0.500], [0.875, 0.250, 0.625], [0.125, 0.375, 0.250], [0.375, 0.250, 0.125], [0.500, 0.000, 0.500], [0.000, 0.500, 0.500], [0.750, 0.125, 0.875], [0.875, 0.625, 0.750], [0.625, 0.750, 0.875], [0.250, 0.375, 0.625], [0.500, 0.500, 0.000], [0.625, 0.875, 0.250], [0.000, 0.000, 0.000], [0.000, 0.000, 0.500], [0.500, 0.000, 0.000], [0.000, 0.500, 0.000], [0.750, 0.625, 0.375], [0.125, 0.750, 0.375], [0.955, 0.370, 0.280], [0.130, 0.410, 0.085], [0.325, 0.780, 0.410], [0.130, 0.720, 0.545], [0.915, 0.825, 0.545], [0.045, 0.630, 0.720], [0.590, 0.720, 0.675], [0.825, 0.910, 0.280], [0.915, 0.090, 0.870], [0.675, 0.220, 0.590], [0.585, 0.630, 0.410], [0.410, 0.280, 0.325], [0.370, 0.955, 0.780], [0.870, 0.280, 0.455], [0.675, 0.455, 0.585], [0.590, 0.870, 0.415], [0.780, 0.325, 0.910], [0.175, 0.090, 0.720], [0.280, 0.410, 0.825], [0.090, 0.915, 0.370], [0.630, 0.045, 0.220], [0.220, 0.545, 0.630], [0.720, 0.590, 0.175], [0.415, 0.370, 0.590], [0.085, 0.910, 0.130], [0.175, 0.085, 0.955], [0.870, 0.590, 0.915], [0.415, 0.045, 0.325], [0.085, 0.175, 0.455], [0.220, 0.675, 0.090], [0.090, 0.175, 0.220], [0.410, 0.130, 0.585], [0.720, 0.130, 0.045], [0.630, 0.585, 0.910], [0.910, 0.085, 0.630], [0.045, 0.415, 0.825], [0.585, 0.955, 0.675], [0.955, 0.585, 0.175], [0.545, 0.325, 0.915], [0.545, 0.220, 0.130], [0.825, 0.915, 0.045], [0.455, 0.675, 0.085], [0.280, 0.870, 0.955], [0.325, 0.545, 0.415], [0.370, 0.415, 0.090], [0.455, 0.780, 0.870], [0.780, 0.455, 0.370], [0.910, 0.825, 0.780], [0.125, 0.250, 0.875], [0.375, 0.750, 0.625], [0.750, 0.875, 0.625], [0.750, 0.375, 0.125], [0.250, 0.125, 0.375], [0.875, 0.125, 0.250], [0.250, 0.625, 0.875], [0.125, 0.875, 0.750], [0.625, 0.375, 0.750], [0.875, 0.750, 0.125], [0.625, 0.250, 0.375], [0.375, 0.625, 0.250]]
}

***

[8]
{
  "formula": "Mg6Hg12Bi",
  "functional": "PBE",
  "state": "optimized geometry",
  "crystal_system": "trigonal",
  "sg": "R-3m",
  "dos_ef_per_ev_atom": 0.607,
  "dft_energy_ev_per_cell": -18.346,
  "formation_enthalpy_0k_ev_per_fu": -1.28,
  "magmom_total_mub_per_cell": 0.000,
  "lattice": [[-2.448, -2.604, -7.525], [-1.522, -6.156, 5.403], [-4.831, 6.449, 2.118]],
  "species": ["Hg", "Hg", "Hg", "Hg", "Hg", "Hg", "Hg", "Hg", "Hg", "Hg", "Hg", "Hg", "Bi", "Mg", "Mg", "Mg", "Mg", "Mg", "Mg"],
  "frac_coords": [[0.359, 0.359, 0.113], [0.886, 0.114, 0.500], [0.359, 0.113, 0.359], [0.500, 0.886, 0.114], [0.113, 0.359, 0.359], [0.641, 0.887, 0.641], [0.114, 0.500, 0.886], [0.886, 0.500, 0.114], [0.114, 0.886, 0.500], [0.887, 0.641, 0.641], [0.641, 0.641, 0.887], [0.500, 0.114, 0.886], [0.000, 0.000, 0.000], [0.303, 0.303, 0.701], [0.303, 0.701, 0.303], [0.701, 0.303, 0.303], [0.299, 0.697, 0.697], [0.697, 0.299, 0.697], [0.697, 0.697, 0.299]]
}